Record 1
## Na2CoTcSe (PBE)

Data for a geometry-optimized Na2CoTcSe structure.

**Volume**: 125.7 Å³/f.u.
**Raw formation energy**: 0.925 eV per atom

Cell: 5.1900 5.1900 4.6650 Å, 90.00 90.00 90.00°
Site moments in Bohr magnetons follow the coordinates.
Fractional positions:
Se  0.0000  0.0000  0.0000  -0.01
Co  0.5000  0.5000  0.5000  2.07
Tc  0.0000  0.0000  0.5000  1.23
Na  0.0000  0.5000  0.0000  -0.01
Na  0.5000  0.0000  0.0000  -0.01

Record 2
## Ru2BrCl (PBE)

Data for a geometry-optimized Ru2BrCl structure.

**Volume**: 63.2 Å³/f.u.
**Energy above the most stable polymorph in this dataset**: 839.6 meV per atom
**Raw formation energy**: 1.028 eV per atom

Cell: 3.1639 3.1645 6.3105 Å, 90.00 90.00 90.00°
Fractional positions:
Ru  0.0000  0.0000  0.4942
Cl  0.5000  0.5000  0.7500
Br  0.5000  0.5000  0.2500
Ru  0.0000  0.0000  0.0058

Record 3
## GaSnH (PBE)

Data for a geometry-optimized GaSnH structure.

**Volume**: 60.9 Å³/f.u.
**Energy above the most stable polymorph in this dataset**: 0.0 meV per atom

Cell: 4.6671 4.6440 9.2153 Å, 139.03 76.20 89.73°
Fractional positions:
Sn  0.1816  0.8434  0.9713
Sn  0.9321  0.7871  0.2646
H  0.5466  0.7886  0.2663
Ga  0.2443  0.7828  0.5325
H  0.8038  0.9242  0.7157
Ga  0.7846  0.6051  0.7427

Record 4
## ScAsCl (PBE)

Data for a geometry-optimized ScAsCl structure.

**Volume**: 65.4 Å³/f.u.
**Energy above the most stable polymorph in this dataset**: 1016.9 meV per atom
**Raw formation energy**: -0.272 eV per atom

Cell: 4.5234 4.5234 4.5234 Å, 60.00 60.00 60.00°
Fractional positions:
Sc  0.0000  0.0000  0.0000
Cl  0.7500  0.7500  0.7500
As  0.5000  0.5000  0.5000

Record 5
## Ba2PCl (PBE)

Data for a geometry-optimized Ba2PCl structure.

**Volume**: 122.1 Å³/f.u.
**Energy above the most stable polymorph in this dataset**: 153.2 meV per atom
**Raw formation energy**: -1.509 eV per atom

Cell: 5.5679 5.5679 5.5679 Å, 60.00 60.00 60.00°
Fractional positions:
P  0.0000  0.0000  0.0000
Ba  0.2500  0.2500  0.2500
Ba  0.7500  0.7500  0.7500
Cl  0.5000  0.5000  0.5000

Record 6
## Pm6GaRh3 (PBE)

Data for a geometry-optimized Pm6GaRh3 structure.

**Volume**: 269.4 Å³/f.u.
**E_form**: -533.8 meV per atom

Cell: 4.4787 10.6251 12.1808 Å, 111.62 90.00 90.00°
Fractional positions:
Rh  0.2500  0.6014  0.1741
Pm  0.2500  0.5235  0.3890
Pm  0.2500  0.1597  0.1991
Pm  0.2500  0.1340  0.8998
Pm  0.7500  0.8403  0.8009
Ga  0.2500  0.9192  0.2931
Rh  0.2500  0.8900  0.9576
Pm  0.2500  0.5876  0.9268
Rh  0.7500  0.1100  0.0424
Ga  0.7500  0.0808  0.7069
Rh  0.2500  0.3079  0.4730
Pm  0.7500  0.4765  0.6110
Pm  0.7500  0.7399  0.3138
Pm  0.2500  0.8836  0.5689
Pm  0.7500  0.4124  0.0732
Rh  0.7500  0.3986  0.8259
Rh  0.7500  0.6921  0.5270
Pm  0.7500  0.8660  0.1002
Pm  0.2500  0.2601  0.6862
Pm  0.7500  0.1164  0.4311

Record 7
## NaUGa2Br8 (PBE)

Data for a geometry-optimized NaUGa2Br8 structure.

**Volume**: 448.6 Å³/f.u.
**Raw formation energy**: -1.043 eV per atom

Cell: 7.2825 6.9529 8.8687 Å, 89.91 90.05 92.63°
Site moments in Bohr magnetons follow the coordinates.
Fractional positions:
Br  0.8597  0.2255  0.7801  -0.03
Br  0.6713  0.7255  0.5001  -0.01
Br  0.6879  0.7800  0.9993  -0.04
Br  0.1403  0.7745  0.2199  -0.03
Br  0.1411  0.7755  0.7806  -0.03
Br  0.3120  0.2200  0.0007  -0.04
Ga  0.4999  0.4998  0.7235  -0.01
Br  0.3287  0.2745  0.4999  -0.01
Na  0.0000  0.0000  0.5000  0.00
Ga  0.5001  0.5002  0.2765  -0.01
U  0.0000  0.0000  0.0000  1.28
Br  0.8589  0.2245  0.2194  -0.03

Record 8
## LaSm8In2 (PBE)

Data for a geometry-optimized LaSm8In2 structure.

**Volume**: 364.0 Å³/f.u.
**E_form**: -69.7 meV per atom

Cell: 5.4140 10.2453 10.2453 Å, 39.90 92.93 92.93°
Fractional positions:
La  0.0000  0.0000  0.0000
In  0.7558  0.2893  0.2893
Sm  0.2388  0.5441  0.5441
Sm  0.7612  0.4559  0.4559
Sm  0.7670  0.8006  0.8006
Sm  0.7256  0.8724  0.4023
In  0.2442  0.7107  0.7107
Sm  0.2744  0.1276  0.5977
Sm  0.2744  0.5977  0.1276
Sm  0.2330  0.1994  0.1994
Sm  0.7256  0.4023  0.8724

Record 9
## Ac3La6Nd (PBE)

Data for a geometry-optimized Ac3La6Nd structure.

**Volume**: 392.6 Å³/f.u.
**E_form**: 115.7 meV per atom

Cell: 9.6365 9.3896 9.3896 Å, 112.44 90.00 90.00°
Fractional positions:
Ac  0.9322  0.0215  0.3326
La  0.0895  0.2814  0.1346
Ac  0.4451  0.5350  0.4650
Ac  0.9451  0.4650  0.5350
La  0.1637  0.6951  0.3049
Ac  0.4322  0.3326  0.0215
La  0.7761  0.0643  0.9357
La  0.6637  0.3049  0.6951
La  0.7615  0.4566  0.1778
La  0.2615  0.1778  0.4566
La  0.5895  0.1346  0.2814
La  0.2615  0.5434  0.8222
Nd  0.5340  0.7636  0.2364
Ac  0.4322  0.9785  0.6674
La  0.0895  0.8654  0.7186
Ac  0.9322  0.6674  0.9785
La  0.2761  0.9357  0.0643
La  0.7615  0.8222  0.5434
Nd  0.0340  0.2364  0.7636
La  0.5895  0.7186  0.8654

Record 10
## K2TmUSe4 (PBE)

Data for a geometry-optimized K2TmUSe4 structure.

**Volume**: 235.3 Å³/f.u.
**Raw formation energy**: -1.470 eV per atom

Cell: 4.1943 7.2816 8.0762 Å, 107.42 90.00 90.00°
Site moments in Bohr magnetons follow the coordinates.
Fractional positions:
Se  0.5000  0.7589  0.7929  -0.04
Se  0.0000  0.7296  0.2045  -0.02
Tm  0.5000  0.5000  0.0000  0.09
U  0.0000  0.0000  0.0000  2.68
K  0.0000  0.5000  0.5000  0.00
Se  0.5000  0.2411  0.2071  -0.04
Se  0.0000  0.2704  0.7955  -0.02
K  0.5000  0.0000  0.5000  0.00

Record 11
## Sr2Zn6NiIr (PBE)

Data for a geometry-optimized Sr2Zn6NiIr structure.

**Volume**: 210.4 Å³/f.u.
**E_form**: -276.9 meV per atom

Cell: 6.4602 6.9047 6.9757 Å, 55.29 62.14 89.99°
Fractional positions:
Ir  0.5000  0.5000  0.0000
Zn  0.7551  0.6856  0.4935
Zn  0.2488  0.7561  0.0666
Zn  0.2449  0.3144  0.5065
Zn  0.3153  0.2425  0.9352
Sr  0.2102  0.7887  0.5814
Ni  0.0000  0.0000  0.0000
Sr  0.7898  0.2113  0.4186
Zn  0.7512  0.2439  0.9334
Zn  0.6847  0.7575  0.0648

Record 12
## In3HgPd4 (PBE)

Data for a geometry-optimized In3HgPd4 structure.

**Volume**: 143.7 Å³/f.u.
**E_form**: -421.6 meV per atom

Cell: 4.6795 4.6795 8.0472 Å, 73.10 73.10 60.00°
Fractional positions:
Pd  0.1283  0.1283  0.6152
Pd  0.3783  0.3783  0.8652
Pd  0.8717  0.8717  0.3848
Pd  0.6217  0.6217  0.1348
In  0.5000  0.5000  0.5000
Hg  0.0000  0.0000  0.0000
In  0.7473  0.7473  0.7580
In  0.2527  0.2527  0.2420